Entry 1:
Compound: ThNiBi
Source: Alexandria via LeMat-Bulk
Functional: PBE-GGA
Structure: optimized geometry

Geometry as POSCAR:
```
ThNiBi
1.0
4.396 0.000 0.000
-2.198 3.807 0.000
0.000 0.000 4.405
Th Ni Bi
1 1 1
direct
0.000 0.000 0.000 Th
0.333 0.667 0.667 Ni
0.667 0.333 0.494 Bi
```

## Properties
- calculated formation energy (meV/atom) = -483.1
- symmetry = No. 156
- N(E_F) (states/eV/cell) = 2.695

Entry 2:
Compound: YSc2Ni2
Source: Alexandria via LeMat-Bulk
Functional: PBE-GGA
Structure: optimized geometry

Geometry as POSCAR:
```
YSc2Ni2
1.0
7.296 0.000 0.000
0.000 7.296 0.000
0.000 0.000 3.635
Y Sc Ni
2 4 4
direct
0.000 0.000 0.000 Y
0.500 0.500 0.000 Y
0.156 0.344 0.500 Sc
0.344 0.844 0.500 Sc
0.656 0.156 0.500 Sc
0.844 0.656 0.500 Sc
0.126 0.626 0.000 Ni
0.374 0.126 0.000 Ni
0.626 0.874 0.000 Ni
0.874 0.374 0.000 Ni
```

## Properties
- energy relative to the lowest polymorph listed for this composition (kJ/mol of atoms) = 1.9
- calculated formation energy (meV/atom) = -322.2
- symmetry = No. 127
- N(E_F) (states/eV/cell) = 11.269

Entry 3:
Compound: Ca3SiGe2Au9
Source: Alexandria via LeMat-Bulk
Functional: PBE-GGA
Structure: optimized geometry

Geometry as POSCAR:
```
Ca3SiGe2Au9
1.0
7.639 0.000 0.000
-3.820 6.616 0.000
0.000 0.000 6.932
Ca Si Ge Au
3 1 2 9
direct
0.000 0.000 0.000 Ca
0.333 0.667 0.666 Ca
0.667 0.333 0.334 Ca
0.000 0.000 0.500 Si
0.333 0.667 0.174 Ge
0.667 0.333 0.826 Ge
0.000 0.500 0.000 Au
0.162 0.324 0.334 Au
0.162 0.838 0.334 Au
0.324 0.162 0.666 Au
0.500 0.000 0.000 Au
0.500 0.500 0.000 Au
0.676 0.838 0.334 Au
0.838 0.162 0.666 Au
0.838 0.676 0.666 Au
```

## Properties
- symmetry = No. 164
- raw total energy (eV per atom) = -3.670
- N(E_F) (states/eV/cell) = 4.518

Entry 4:
Compound: VNiGe2
Source: Alexandria via LeMat-Bulk
Functional: PBE-GGA
Structure: optimized geometry

Geometry as POSCAR:
```
VNiGe2
1.0
6.593 0.000 0.000
0.000 6.593 0.000
0.000 0.000 5.545
V Ni Ge
4 4 8
direct
0.000 0.000 0.000 V
0.000 0.500 0.250 V
0.500 0.000 0.750 V
0.500 0.500 0.500 V
0.000 0.000 0.500 Ni
0.000 0.500 0.750 Ni
0.500 0.000 0.250 Ni
0.500 0.500 0.000 Ni
0.222 0.250 0.625 Ge
0.250 0.722 0.875 Ge
0.250 0.778 0.375 Ge
0.278 0.250 0.125 Ge
0.722 0.750 0.125 Ge
0.750 0.222 0.375 Ge
0.750 0.278 0.875 Ge
0.778 0.750 0.625 Ge
```

## Properties
- calculated formation energy (meV/atom) = 143.3
- symmetry = No. 122
- N(E_F) (states/eV/cell) = 13.596

Entry 5:
Compound: Fe3HW
Source: Alexandria via LeMat-Bulk
Functional: PBE-GGA
Structure: optimized geometry

Geometry as POSCAR:
```
Fe3HW
1.0
3.641 0.000 0.000
0.000 3.641 0.000
0.000 0.000 3.641
Fe H W
3 1 1
direct
0.000 0.000 0.500 Fe
0.000 0.500 0.000 Fe
0.500 0.000 0.000 Fe
0.000 0.000 0.000 H
0.500 0.500 0.500 W
```

## Properties
- energy relative to the lowest polymorph listed for this composition (kJ/mol of atoms) = 0.0
- symmetry = No. 221
- N(E_F) (states/eV/cell) = 4.078

Entry 6:
Compound: YMg3Si
Source: Alexandria via LeMat-Bulk
Functional: PBE-GGA
Structure: optimized geometry

Geometry as POSCAR:
```
YMg3Si
1.0
5.765 0.000 0.000
0.000 5.765 0.000
0.000 0.000 5.765
Y Mg Si
1 3 1
direct
0.000 0.000 0.000 Y
0.000 0.000 0.500 Mg
0.000 0.500 0.000 Mg
0.500 0.000 0.000 Mg
0.500 0.500 0.500 Si
```

## Properties
- energy relative to the lowest polymorph listed for this composition (kJ/mol of atoms) = 116.8
- symmetry = No. 221
- N(E_F) (states/eV/cell) = 6.420

Entry 7:
Compound: LiMgPb
Source: Alexandria via LeMat-Bulk
Functional: PBE-GGA
Structure: optimized geometry

Geometry as POSCAR:
```
LiMgPb
1.0
4.794 0.000 0.000
0.000 3.571 0.000
-0.024 0.000 4.830
Li Mg Pb
1 1 1
direct
0.000 0.000 0.000 Li
0.500 0.000 0.500 Mg
0.500 0.500 0.000 Pb
```

## Properties
- energy relative to the lowest polymorph listed for this composition (kJ/mol of atoms) = 14.8
- calculated formation energy (meV/atom) = -30.6
- symmetry = No. 10
- N(E_F) (states/eV/cell) = 0.936

Entry 8:
Compound: CrCoSi2
Source: Alexandria via LeMat-Bulk
Functional: PBE-GGA
Structure: optimized geometry

Geometry as POSCAR:
```
CrCoSi2
1.0
8.711 0.000 0.000
0.000 2.649 0.000
-1.251 0.000 3.954
Cr Co Si
2 2 4
direct
0.000 0.000 0.000 Cr
0.500 0.500 0.000 Cr
0.241 0.000 0.602 Co
0.741 0.500 0.602 Co
0.247 0.500 0.108 Si
0.498 0.000 0.497 Si
0.747 0.000 0.108 Si
0.998 0.500 0.497 Si
```

## Properties
- symmetry = No. 8
- raw total energy (eV per atom) = -7.227
- N(E_F) (states/eV/cell) = 5.052

- Which formula does entry 7 have?
  LiMgPb